No. 1
Computed, not measured: a PBEsol-optimized structure of MgCo2Mo at the SCAN level of DFT.

a b c (Å): 2.6236 4.3133 5.2462
angles (deg): 114.27 104.48 90.00
Last column: magnetic moment on the atom in μB.
Element x y z (fractional)
Co: 0.0095 0.0095 0.0190  1.31
Co: 0.7204 0.2204 0.4408  1.54
Mg: 0.4898 0.4898 0.9796  -0.02
Mo: 0.2803 0.7803 0.5606  -0.19

Output
The calculated total energy is -1.34840 Ry/atom. The value obtained for the theoretical density is 7.60 g cm⁻³. The value obtained for the density of states at the Fermi level is 2.92 states/eV/cell. As for the symmetry: Imm2 (44).

***

No. 2
Computed, not measured: a PBEsol-optimized structure of Zr2HgCl at the SCAN level of DFT.

a b c (Å): 3.2121 4.7474 5.5041
angles (deg): 90.00 90.00 90.00
Element x y z (fractional)
Hg: 0.0000 0.5000 0.5000
Zr: 0.0000 0.0000 0.0000
Zr: 0.5000 0.0000 0.5000
Cl: 0.5000 0.5000 0.0000

Output
The calculation puts the energy above the most stable polymorph in this dataset at 149 kJ/mol of formula units. The calculated total energy is -2.54722 Ry/atom. The value obtained for the theoretical density is 8.28 g cm⁻³. The value obtained for the density of states at the Fermi level is 4.17 states/eV/cell. As for the symmetry: Pmmm (47). The raw formation energy comes out at -0.27 eV per atom.

***

No. 3
Computed, not measured: a PBEsol-optimized structure of AlCoSeCl2 at the SCAN level of DFT.

a b c (Å): 4.2675 5.4096 5.4096
angles (deg): 90.00 90.00 90.00
Last column: magnetic moment on the atom in μB.
Element x y z (fractional)
Co: 0.5000 0.0000 0.0000  1.73
Al: 0.5000 0.5000 0.5000  -0.01
Se: 0.0000 0.0000 0.0000  0.06
Cl: 0.0000 0.0000 0.5000  0.01
Cl: 0.0000 0.5000 0.0000  0.01

Output
The calculated total energy is -0.87387 Ry/atom. The value obtained for the theoretical density is 3.14 g cm⁻³. The value obtained for the density of states at the Fermi level is 2.71 states/eV/cell. As for the symmetry: P4/mmm (123). The raw formation energy comes out at 0.33 eV per atom.

***

No. 4
Computed, not measured: a PBEsol-optimized structure of CaMgAl4 at the SCAN level of DFT.

a b c (Å): 5.5215 5.5215 5.5215
angles (deg): 60.00 60.00 60.00
Element x y z (fractional)
Mg: 0.0000 0.0000 0.0000
Ca: 0.7500 0.7500 0.7500
Al: 0.3750 0.3750 0.3750
Al: 0.3750 0.3750 0.8751
Al: 0.8751 0.3750 0.3750
Al: 0.3750 0.8751 0.3750

Output
The calculated total energy is -0.57013 Ry/atom. The value obtained for the theoretical density is 2.40 g cm⁻³. The value obtained for the density of states at the Fermi level is 2.90 states/eV/cell. As for the symmetry: F-43m (216).

***

No. 5
Computed, not measured: a PBEsol-optimized structure of BiAu3Cl at the SCAN level of DFT.

a b c (Å): 4.8639 4.8639 4.8639
angles (deg): 90.00 90.00 90.00
Element x y z (fractional)
Au: 0.0000 0.5000 0.0000
Au: 0.0000 0.0000 0.5000
Au: 0.5000 0.0000 0.0000
Bi: 0.5000 0.5000 0.5000
Cl: 0.0000 0.0000 0.0000

Output
The calculated total energy is -4.25813 Ry/atom. The value obtained for the theoretical density is 12.05 g cm⁻³. The value obtained for the density of states at the Fermi level is 3.78 states/eV/cell. As for the symmetry: Pm-3m (221). The raw formation energy comes out at 0.87 eV per atom.

***

No. 6
Computed, not measured: a PBEsol-optimized structure of Cu3OF5 at the SCAN level of DFT.

a b c (Å): 4.6055 5.5234 7.6553
angles (deg): 88.15 89.19 94.92
Last column: magnetic moment on the atom in μB.
Element x y z (fractional)
Cu: 0.9936 0.8054 0.6622  -0.66
Cu: 0.5369 0.3283 0.6775  0.71
Cu: 0.0064 0.1946 0.3378  -0.66
Cu: 0.5000 0.0000 0.0000  0.93
Cu: 0.4631 0.6717 0.3225  0.71
Cu: 0.0000 0.5000 0.0000  0.29
O: 0.1636 0.4797 0.2264  0.08
O: 0.8364 0.5203 0.7736  0.08
F: 0.7858 0.8867 0.4142  0.00
F: 0.2142 0.1133 0.5858  0.00
F: 0.2862 0.0141 0.2311  0.01
F: 0.7124 0.3651 0.4484  0.00
F: 0.2876 0.6349 0.5516  0.00
F: 0.8039 0.2043 0.0831  0.10
F: 0.7138 0.9859 0.7689  0.01
F: 0.3367 0.2920 0.8966  0.11
F: 0.6633 0.7080 0.1034  0.11
F: 0.1961 0.7957 0.9169  0.10

Output
The calculation puts the energy above the most stable polymorph in this dataset at 10 kJ/mol of formula units. The calculated total energy is -0.67943 Ry/atom. The value obtained for the theoretical density is 5.17 g cm⁻³. The value obtained for the density of states at the Fermi level is 10.68 states/eV/cell. As for the symmetry: P-1 (2). The raw formation energy comes out at -1.52 eV per atom.